# 1
Material: VZnPO5
Method: DFT, SCAN
State: PBEsol geometry

Calculated values
Calculated density = 4.146 g/cm³

Geometry as POSCAR:
```
VZnPO5
1.0
3.6352 -4.0000 0.0000
3.6352 4.0000 0.0000
-3.2954 0.0000 6.2616
V Zn P O
2 2 2 10
Cartesian
0.0000 0.0000 0.0000 V
-1.6477 0.0000 3.1308 V
1.1637 1.5212 4.6962 Zn
2.8114 -1.5212 1.5654 Zn
2.8114 1.1384 1.5654 P
1.1637 -1.1384 4.6962 P
1.1637 3.3900 4.6962 O
2.0904 2.0005 2.6176 O
3.5324 2.0005 0.5132 O
1.8236 0.1110 0.9090 O
0.1759 -0.1110 4.0399 O
3.7992 0.1110 2.2218 O
2.1515 -0.1110 5.3526 O
0.4427 -2.0005 5.7484 O
1.8847 -2.0005 3.6440 O
2.8114 -3.3900 1.5654 O
```

---

# 2
Material: V4Zn3P6O24
Method: DFT, SCAN
State: PBEsol geometry

Calculated values
Calculated density = 3.968 g/cm³

Geometry as POSCAR:
```
V4Zn3P6O24
1.0
6.3423 0.0000 0.0000
-1.6196 7.7004 0.0000
-2.7746 -3.0862 8.3094
V Zn P O
4 3 6 24
Cartesian
-0.1371 1.5601 0.1721 V
-0.7473 5.5159 5.0462 V
2.6954 -0.9017 3.2632 V
2.0853 3.0540 8.1373 V
-2.1971 2.3071 4.1547 Zn
-0.8639 -0.0586 6.6021 Zn
2.8120 4.6728 1.7073 Zn
-0.5481 -0.2907 2.7777 P
-0.3772 4.1460 2.2000 P
-1.0577 2.9694 7.2032 P
3.0058 1.6448 1.1062 P
2.3254 0.4681 6.1094 P
2.4963 4.9049 5.5317 P
-1.4699 4.8208 1.3165 O
-0.0981 -0.1278 1.2794 O
-0.9260 0.9985 3.4297 O
-1.0616 -1.7657 5.4755 O
0.0052 2.8011 1.6238 O
-0.9336 4.0020 3.6487 O
-2.3679 3.0681 7.9857 O
-1.1339 1.8288 6.1514 O
0.6944 -0.9466 3.4737 O
1.8843 1.9420 0.0479 O
-0.7120 4.2678 6.4716 O
0.8856 5.0651 2.2249 O
1.0626 -0.4509 6.0845 O
2.6602 0.3464 1.8378 O
0.0639 2.6722 8.2616 O
1.2538 5.5608 4.8357 O
3.0821 2.7853 2.1580 O
4.3161 1.5461 0.3238 O
2.8818 0.6122 4.6607 O
1.9430 1.8131 6.6857 O
3.0098 6.3798 2.8339 O
2.8742 3.6157 4.8797 O
2.0463 4.7419 7.0301 O
3.4181 -0.2066 6.9929 O
```

---

# 3
Material: V3ZnP3O13
Method: DFT, SCAN
State: PBEsol geometry

Calculated values
N(E_F) = 5.917 states/eV/cell
Calculated density = 3.609 g/cm³

Geometry as POSCAR:
```
V3ZnP3O13
1.0
7.3213 0.0000 0.0000
0.0000 6.2024 0.0000
-2.0110 0.0000 10.5208
V Zn P O
6 2 6 26
Cartesian
0.0000 0.0000 0.0000 V
0.0000 3.1012 0.0000 V
0.6192 1.5506 5.7840 V
2.2307 4.6518 2.0767 V
3.0796 1.5506 8.4441 V
4.6911 4.6518 4.7369 V
1.0631 4.6518 9.1135 Zn
4.2473 1.5506 1.4073 Zn
0.6511 4.6518 5.0125 P
1.5668 1.5506 2.4242 P
0.4723 1.5506 9.1579 P
4.8380 4.6518 1.3630 P
3.7435 4.6518 8.0966 P
4.6592 1.5506 5.5083 P
-0.7844 4.6518 4.4477 O
0.4807 1.5506 1.2949 O
0.8034 4.6518 0.9557 O
-0.2841 0.2202 9.4041 O
-0.2841 2.8810 9.4041 O
0.9279 1.5506 3.7864 O
0.9152 3.4173 5.8932 O
0.9152 5.8863 5.8932 O
1.6533 4.6518 3.8553 O
1.0711 1.5506 7.7455 O
2.5539 0.3824 2.1249 O
2.5539 2.7188 2.1249 O
3.5401 4.6518 0.4903 O
1.7702 1.5506 10.0305 O
2.7564 3.4836 8.3960 O
2.7564 5.8200 8.3960 O
4.2393 4.6518 2.7753 O
3.6570 1.5506 6.6655 O
4.3951 0.3161 4.6276 O
4.3951 2.7851 4.6276 O
4.3824 4.6518 6.7345 O
5.5944 3.3214 1.1167 O
5.5944 5.9822 1.1167 O
4.5069 1.5506 9.5651 O
4.8296 4.6518 9.2259 O
6.0947 1.5506 6.0731 O
```

---

# 4
Material: V4ZnP6O24
Method: DFT, SCAN
State: PBEsol geometry

Calculated values
N(E_F) = 0.438 states/eV/cell
Calculated density = 3.481 g/cm³

Geometry as POSCAR:
```
V4ZnP6O24
1.0
6.1784 0.0000 0.0000
-1.7459 7.9207 0.0000
-2.4309 -3.5862 8.1777
V Zn P O
4 1 6 24
Cartesian
-0.0829 1.6380 0.1744 V
-0.8632 5.5256 5.0188 V
2.8648 -1.1911 3.1589 V
2.0845 2.6965 8.0033 V
-2.0884 2.1673 4.0888 Zn
-0.3436 -0.3398 2.7633 P
-0.4817 4.3189 2.1011 P
-0.9944 2.8430 6.9290 P
2.9960 1.4915 1.2487 P
2.4833 0.0156 6.0766 P
2.3452 4.6744 5.4144 P
-1.5078 5.0294 1.1880 O
0.0182 -0.1798 1.2318 O
-0.9311 -2.2308 5.2889 O
-0.6101 0.9972 3.3558 O
-0.1342 2.9530 1.5433 O
-1.0171 4.1831 3.5610 O
-2.2532 2.9175 7.8344 O
-1.1459 1.8224 5.8390 O
0.8714 -1.0940 3.4333 O
1.7805 1.6920 0.3099 O
-0.7728 4.2491 6.2789 O
0.7938 5.2152 2.1580 O
1.2078 -0.8807 6.0197 O
2.7745 0.0854 1.8988 O
0.2211 2.6426 7.8678 O
1.1302 5.4285 4.7443 O
3.1475 2.5121 2.3387 O
4.2548 1.4171 0.3433 O
3.0187 0.1514 4.6167 O
2.1358 1.3815 6.6344 O
2.6117 3.3373 4.8219 O
2.9327 6.5653 2.8888 O
1.9834 4.5144 6.9459 O
3.5094 -0.6949 6.9897 O
```

---

# 5
Material: V2ZnP2O10
Method: DFT, SCAN
State: PBEsol geometry

Calculated values
Calculated density = 4.130 g/cm³

Geometry as POSCAR:
```
V2ZnP2O10
1.0
0.0000 7.8978 3.5644
5.5587 0.0000 3.5644
5.5587 7.8978 0.0000
V Zn P O
4 2 4 20
Cartesian
6.7712 1.8016 3.5644 V
3.9919 2.1474 1.7822 V
1.5668 5.7505 1.7822 V
4.3462 13.9941 3.5644 V
5.5587 7.8978 2.6379 Zn
8.3380 11.8468 4.4200 Zn
5.6408 4.6279 2.7140 P
8.2559 8.5768 4.4962 P
5.4765 11.1678 2.7140 P
2.8615 7.2189 4.4962 P
1.5539 0.1879 1.0658 O
2.6479 2.6494 0.9458 O
5.4785 5.7472 1.6641 O
2.9108 5.2485 0.9458 O
4.3332 3.7610 2.8479 O
4.0048 7.7099 1.0658 O
8.4182 9.6961 3.4463 O
5.6388 10.0485 1.6641 O
5.7989 5.3222 4.0627 O
7.0561 7.6378 4.1878 O
6.7842 12.0347 2.8479 O
2.6992 6.0996 3.4463 O
8.0978 9.2712 5.8449 O
9.8354 12.1068 5.9700 O
4.0613 8.1578 4.1878 O
5.3185 10.4734 4.0627 O
5.6901 6.5983 6.2923 O
6.8406 11.5867 5.9700 O
8.5782 14.4223 5.8449 O
5.4272 9.1974 6.2923 O
```

---

# 6
Material: VZnP2O7
Method: DFT, SCAN
State: PBEsol geometry

Calculated values
Calculated density = 4.012 g/cm³

Geometry as POSCAR:
```
VZnP2O7
1.0
5.1843 0.0000 0.0000
2.0093 6.2034 0.0000
0.6699 1.3807 7.4718
V Zn P O
2 2 4 14
Cartesian
1.7641 2.6024 2.6327 V
6.0994 4.9817 4.8391 V
3.2208 6.4406 6.4781 Zn
4.6428 1.1436 0.9938 Zn
3.3190 5.5507 2.8212 P
2.8127 3.1973 6.9098 P
5.0509 4.3868 0.5620 P
4.5445 2.0334 4.6507 P
0.7886 0.7539 2.4366 O
2.1465 4.6155 3.1416 O
1.6369 2.2089 6.9641 O
2.4202 4.5168 6.2429 O
2.8262 2.0014 0.8165 O
3.8613 5.0159 1.3942 O
4.4228 5.5757 3.8267 O
3.4407 2.0084 3.6452 O
4.0022 2.5682 6.0776 O
5.0373 5.5827 6.6553 O
5.4433 3.0673 1.2289 O
6.2267 5.3752 0.5077 O
5.7170 2.9686 4.3302 O
7.0749 6.8302 5.0352 O
```

---

# 7
Material: P5WO15
Method: DFT, SCAN
State: PBEsol geometry

Calculated values
Calculated density = 3.212 g/cm³

Geometry as POSCAR:
```
P5WO15
1.0
5.2581 0.0000 0.0000
0.0000 13.8405 0.0000
-1.9133 0.0000 8.2221
P W O
10 2 30
Cartesian
0.0126 1.9718 0.1591 P
0.0126 4.9484 0.1591 P
1.1764 1.1292 2.7920 P
1.1764 5.7910 2.7920 P
1.3690 3.4601 4.4390 P
1.9757 10.3804 3.7831 P
2.1683 8.0494 5.4302 P
2.1683 12.7113 5.4302 P
3.3322 8.8921 8.0630 P
3.3322 11.8686 8.0630 P
2.6290 0.0000 0.0000 W
2.6290 6.9202 0.0000 W
-1.6303 3.4601 7.9321 O
0.2518 1.9674 1.6922 O
0.2518 4.9528 1.6922 O
-0.0891 3.4601 4.2214 O
-0.8790 1.0922 7.6738 O
-0.8790 5.8280 7.6738 O
0.3546 0.1764 3.5195 O
0.3546 6.7438 3.5195 O
1.4293 8.5371 0.1479 O
1.4293 12.2236 0.1479 O
1.2373 10.3804 2.5160 O
1.3215 9.1571 4.7696 O
1.3215 11.6036 4.7696 O
2.2182 0.4786 1.7580 O
2.2182 6.4416 1.7580 O
1.1265 7.3989 6.4642 O
1.1265 13.3619 6.4642 O
2.0232 2.2369 3.4525 O
2.0232 4.6834 3.4525 O
2.1075 3.4601 5.7061 O
1.9155 1.6168 8.0743 O
1.9155 5.3034 8.0743 O
2.9901 7.0966 4.7026 O
2.9901 13.6641 4.7026 O
4.2238 8.0124 0.5484 O
4.2238 12.7483 0.5484 O
3.4339 10.3804 4.0008 O
3.0930 8.8877 6.5299 O
3.0930 11.8730 6.5299 O
4.9750 10.3804 0.2900 O
```

---

# 8
Material: P3WO
Method: DFT, SCAN
State: PBEsol geometry

Calculated values
N(E_F) = 3.193 states/eV/cell
Calculated density = 7.690 g/cm³

Geometry as POSCAR:
```
P3WO
1.0
3.9836 0.0000 0.0000
0.0000 3.9836 0.0000
0.0000 0.0000 3.9836
P W O
3 1 1
Cartesian
0.0000 0.0000 1.9918 P
0.0000 1.9918 0.0000 P
1.9918 0.0000 0.0000 P
1.9918 1.9918 1.9918 W
0.0000 0.0000 0.0000 O
```

---

# 9
Material: P2W2O11
Method: DFT, SCAN
State: PBEsol geometry

Calculated values
N(E_F) = 0.000 states/eV/cell
Energy above the most stable polymorph in this dataset = 0.005 eV/atom
Calculated density = 5.151 g/cm³

Geometry as POSCAR:
```
P2W2O11
1.0
7.8625 0.0000 0.0000
0.0000 12.5866 0.0000
-0.3437 0.0000 7.8916
P W O
8 8 44
Cartesian
0.4501 3.1466 2.7169 P
1.9252 9.4399 0.8282 P
1.7665 0.0478 4.8566 P
1.7665 6.2455 4.8566 P
5.7522 6.3410 3.0350 P
5.7522 12.5388 3.0350 P
5.5936 3.1466 7.0635 P
7.0687 9.4399 5.1747 P
1.1242 0.0332 1.5125 W
1.1242 6.2601 1.5125 W
2.6123 3.1466 5.4708 W
2.6226 9.4399 5.4771 W
4.8962 3.1466 2.4145 W
4.9065 9.4399 2.4208 W
6.3946 6.3264 6.3791 W
6.3946 12.5534 6.3791 W
0.0000 0.0000 0.0000 O
0.0000 6.2933 0.0000 O
0.3566 0.3240 5.3024 O
0.3566 5.9693 5.3024 O
0.7411 1.9034 1.8436 O
0.7411 4.3899 1.8436 O
0.6260 9.4399 4.6597 O
1.2482 8.2112 1.4629 O
1.2482 10.6686 1.4629 O
1.4582 3.1466 3.8836 O
1.3489 3.1466 6.6213 O
1.4385 9.4399 7.2139 O
1.8862 6.3641 3.3173 O
1.8862 12.5157 3.3173 O
2.3801 7.4933 5.5030 O
2.3801 11.3866 5.5030 O
2.5965 0.3098 0.6951 O
2.5965 5.9835 0.6951 O
2.7096 1.2266 5.2477 O
2.7096 5.0667 5.2477 O
3.3095 9.4399 3.8257 O
3.4393 9.4399 1.1915 O
3.4714 3.1466 1.4667 O
4.0474 9.4399 6.4249 O
4.0795 3.1466 6.7001 O
4.2092 3.1466 4.0659 O
4.8091 7.5199 2.6439 O
4.8091 11.3599 2.6439 O
4.9223 6.6031 7.1965 O
4.9223 12.2768 7.1965 O
5.1387 1.2000 2.3886 O
5.1387 5.0933 2.3886 O
5.6326 0.0709 4.5743 O
5.6326 6.2224 4.5743 O
6.0803 3.1466 0.6777 O
6.1699 9.4399 1.2703 O
6.0606 9.4399 4.0080 O
6.2706 1.9179 6.4287 O
6.2706 4.3754 6.4287 O
6.8927 3.1466 3.2319 O
6.7777 8.1967 6.0480 O
6.7777 10.6831 6.0480 O
7.1622 6.6173 2.5892 O
7.1622 12.2626 2.5892 O
```

---

# 10
Material: P3W2O12
Method: DFT, SCAN
State: PBEsol geometry

Calculated values
N(E_F) = 13.813 states/eV/cell
Calculated density = 4.671 g/cm³

Geometry as POSCAR:
```
P3W2O12
1.0
8.7262 0.0000 0.0000
0.0000 8.7539 0.0000
-8.7216 0.0000 12.1489
P W O
12 8 48
Cartesian
0.2815 2.1881 0.0025 P
-4.0793 2.1888 6.0770 P
-0.9305 5.3455 4.3108 P
-5.2913 7.7853 10.3852 P
0.9350 0.9678 4.3117 P
-3.4258 3.4092 10.3861 P
3.4304 5.3447 1.7628 P
-0.9304 7.7861 7.8372 P
5.2959 0.9686 1.7637 P
0.9351 3.4084 7.8381 P
-0.2769 6.5658 12.1464 P
4.0839 6.5651 6.0719 P
-6.5436 4.6791 10.7289 W
-2.1828 8.4518 4.6544 W
-2.1808 4.6800 7.4950 W
2.1800 8.4509 1.4205 W
-2.1754 0.3031 10.7284 W
2.1854 4.0739 4.6539 W
2.1874 0.3021 7.4945 W
6.5482 4.0748 1.4200 W
-4.9524 1.3911 7.0570 O
-0.5916 2.9859 0.9825 O
-3.1854 1.2789 5.2367 O
-7.5462 3.0980 11.3112 O
-1.5606 4.4318 3.2522 O
-5.9214 8.6991 9.3266 O
-3.7672 5.7631 7.0463 O
0.5936 7.3678 0.9718 O
-5.6012 6.3031 10.1124 O
-1.2404 6.8278 4.0380 O
1.1849 1.2819 0.8366 O
-3.1759 3.0950 6.9110 O
-0.5886 0.8032 4.2915 O
-4.9494 3.5738 10.3660 O
-1.4973 4.9378 5.6736 O
-5.8581 8.1930 11.7481 O
2.8511 4.9382 0.4049 O
-1.5097 8.1927 6.4794 O
0.5922 5.1748 4.2764 O
-3.7686 7.9561 10.3508 O
1.5511 0.0493 3.2491 O
-2.8096 4.3277 9.3235 O
-3.1118 1.9288 10.1077 O
1.2490 2.4482 4.0333 O
-1.2443 6.3058 8.1156 O
3.1165 6.8251 2.0412 O
2.8143 4.4263 2.8254 O
-1.5465 8.7046 8.8998 O
3.7733 0.7979 1.7981 O
-0.5875 3.5791 7.8725 O
1.5143 0.5612 5.6695 O
-2.8465 3.8157 11.7440 O
5.8627 0.5609 0.4008 O
1.5020 3.8161 6.4753 O
4.9540 5.1801 1.7829 O
0.5932 7.9508 7.8573 O
3.1806 5.6589 5.2379 O
-1.1802 7.4720 11.3123 O
1.2450 1.9261 8.1109 O
5.6058 2.4509 2.0365 O
-0.5890 1.3861 11.1771 O
3.7718 2.9908 5.1026 O
5.9260 0.0548 2.8223 O
1.5653 4.3221 8.8967 O
7.5508 5.6559 0.8377 O
3.1901 7.4750 6.9122 O
0.5963 5.7681 11.1664 O
4.9570 7.3628 5.0919 O
```

---

In the order shown, the computed energy relative to the elements, uncorrected values come out to -2.360 -2.453 -2.453 -2.439 -2.391 -2.353 -2.128 0.748 -2.301 -2.236 eV/atom.
In the order shown, the computed calculated total energy values come out to -182.88 -413.19 -454.50 -380.79 -334.94 -242.60 -519.68 -103.38 -1052.90 -1133.41 eV for the cell shown.
In the order shown, the computed total magnetization values come out to 4.00 8.00 12.00 4.00 4.00 6.00 1.90 0.00 0.00 12.00 μB per cell.